<P>
A plane-wave DFT calculation with PBE was carried out for a relaxed structure of ZnCrCl.

extended XYZ file:
```
3
Lattice="-2.4573 1.4664 3.5595 0.2971 -2.1474 4.0198 2.0747 2.0304 3.5258" Properties=species:S:1:pos:R:3 pbc="T T T"
Zn 0.0000 0.0000 0.0000
Cl -0.0428 0.6747 5.5525
Cr -0.0641 1.0120 8.3288
```

Properties
**SG**: F-43m, No. 216
**D(E_F)**: 0.18 states/eV/atom

<Q>
A plane-wave DFT calculation with PBE was carried out for a relaxed structure of ZnCrCl.

extended XYZ file:
```
3
Lattice="4.4408 0.0000 0.0000 -2.2204 3.8459 0.0000 0.0000 0.0000 3.4764" Properties=species:S:1:pos:R:3 pbc="T T T"
Cl 0.0000 0.0000 0.5793
Cr 0.0000 2.5639 0.5795
Zn 2.2204 1.2820 2.3175
```

Properties
**SG**: P-6m2, No. 187
**D(E_F)**: 0.41 states/eV/atom

Least stable: <P>